[1]
VASP calculation (PBE) on a relaxed structure of NiPt4Pb.

```
NiPt4Pb
1.0
-1.472 0.552 5.117
-3.448 -3.466 2.182
1.696 -3.512 3.667
Ni Pt Pb
1 4 1
Direct
0.750 0.750 0.750
0.873 0.376 0.376
0.376 0.376 0.873
0.376 0.873 0.376
0.376 0.376 0.376
0.000 0.000 0.000
```


[2]
VASP calculation (PBE) on a relaxed structure of NiPtPb2.

```
NiPtPb2
1.0
-0.725 -2.984 -1.519
2.197 -1.596 2.087
-5.068 -1.069 4.518
Ni Pb Pt
1 2 1
Direct
0.500 0.500 0.750
0.000 0.000 0.992
0.000 0.000 0.508
0.500 0.500 0.250
```


What are the theoretical density values for these records? In order: 16.0 13.8 g/cm³.
What are the E_tot values for these records? In order: -32.8 -18.5 eV per cell.
What are the ΔH_f (0 K) values for these records? In order: 0.142 0.177 eV per atom.